A plane-wave DFT calculation with GGA-PBE was carried out for a relaxed structure of BC3.

Lattice parameters (Å, degrees): 2.5749 4.5718 6.3236 95.85 90.00 90.00
Atoms (fractional coordinates):
B 0.0000 0.2998 0.5930
B 0.0000 0.3448 0.2851
B 0.0000 0.0162 0.0118
C 0.5000 0.1893 0.9119
C 0.0000 0.6699 0.9116
C 0.5000 0.5216 0.2333
C 0.5000 0.1353 0.6785
C 0.5000 0.8133 0.5900
C 0.5000 0.8340 0.3449
C 0.5000 0.5173 0.9884
C 0.0000 0.0023 0.2913
C 0.0000 0.6562 0.6602

Summary:
SG ... No. 6
Formation energy from the elements ... 255.3 meV/atom
Uncorrected energy ... -8.332 eV/atom
Fermi-level density of states ... 0.33 states/eV/f.u.
Relative energy among the computed polymorphs ... 1.4 kJ/mol of atoms